1.
HoScBeCo: optimized geometry, PBE.

The structure in POSCAR format:
```
HoScBeCo
1.0
0.000 3.252 3.252
3.252 0.000 3.252
3.252 3.252 0.000
Ho Sc Be Co
1 1 1 1
Direct
0.000 0.000 0.000
0.500 0.500 0.500
0.750 0.750 0.750
0.250 0.250 0.250
```

## Properties
Its space-group type is F-43m (216).

***

2.
HoBeCoSi2: optimized geometry, PBE.

The structure in POSCAR format:
```
HoBeCoSi2
1.0
-1.917 1.917 4.914
1.917 -1.917 4.914
1.917 1.917 -4.914
Ho Be Co Si
1 1 1 2
Direct
0.000 0.000 0.000
0.250 0.750 0.500
0.750 0.250 0.500
0.376 0.376 0.000
0.624 0.624 0.000
```

## Properties
Its space-group type is I-4m2 (119).

***

3.
HoBeCo4Si2: optimized geometry, PBE.

The structure in POSCAR format:
```
HoBeCo4Si2
1.0
1.920 1.108 7.820
-1.920 1.108 7.820
0.000 -2.216 7.820
Ho Be Co Si
1 1 4 2
Direct
0.000 0.000 0.000
0.500 0.500 0.500
0.134 0.134 0.134
0.409 0.409 0.409
0.591 0.591 0.591
0.866 0.866 0.866
0.235 0.235 0.235
0.765 0.765 0.765
```

## Properties
Its space-group type is R-3m (166).

***

4.
Ho2BeCo5Si2: optimized geometry, PBE.

The structure in POSCAR format:
```
Ho2BeCo5Si2
1.0
9.328 0.000 0.000
0.000 9.328 0.000
0.000 0.000 3.158
Ho Be Co Si
4 2 10 4
Direct
0.175 0.325 0.000
0.325 0.825 0.000
0.675 0.175 0.000
0.825 0.675 0.000
0.000 0.000 0.000
0.500 0.500 0.000
0.000 0.500 0.500
0.063 0.795 0.500
0.205 0.063 0.500
0.295 0.563 0.500
0.437 0.295 0.500
0.500 0.000 0.500
0.563 0.705 0.500
0.705 0.437 0.500
0.795 0.937 0.500
0.937 0.205 0.500
0.124 0.624 0.000
0.376 0.124 0.000
0.624 0.876 0.000
0.876 0.376 0.000
```

## Properties
Its space-group type is P4/mbm (127).

***

5.
HoTmBeCo: optimized geometry, PBE.

The structure in POSCAR format:
```
HoTmBeCo
1.0
0.000 3.332 3.332
3.332 0.000 3.332
3.332 3.332 0.000
Ho Tm Be Co
1 1 1 1
Direct
0.000 0.000 0.000
0.500 0.500 0.500
0.250 0.250 0.250
0.750 0.750 0.750
```

## Properties
Its space-group type is F-43m (216).

***

6.
HoZrBeCo: optimized geometry, PBE.

The structure in POSCAR format:
```
HoZrBeCo
1.0
0.000 3.272 3.272
3.272 0.000 3.272
3.272 3.272 0.000
Ho Zr Be Co
1 1 1 1
Direct
0.000 0.000 0.000
0.500 0.500 0.500
0.250 0.250 0.250
0.750 0.750 0.750
```

## Properties
Its space-group type is F-43m (216).

***

7.
BeCoI: optimized geometry, PBE.

The structure in POSCAR format:
```
BeCoI
1.0
3.413 0.000 0.000
0.000 3.570 0.000
-1.696 0.000 9.297
Be Co I
2 2 2
Direct
0.033 0.250 0.067
0.967 0.750 0.933
0.453 0.250 0.906
0.547 0.750 0.094
0.355 0.750 0.710
0.645 0.250 0.290
```

## Properties
Its space-group type is P2_1/m (11).

***

8.
BeCoI: optimized geometry, PBE.

The structure in POSCAR format:
```
BeCoI
1.0
6.995 0.000 0.000
0.000 3.749 0.000
0.000 0.000 8.059
Be Co I
4 4 4
Direct
0.065 0.250 0.031
0.435 0.750 0.531
0.565 0.250 0.469
0.935 0.750 0.969
0.228 0.750 0.050
0.272 0.250 0.550
0.728 0.750 0.450
0.772 0.250 0.950
0.133 0.750 0.345
0.367 0.250 0.845
0.633 0.750 0.155
0.867 0.250 0.655
```

## Properties
Its space-group type is Pnma (62).

***

| no. | raw total energy (eV/atom) |
| --- | --- |
| 1 | -5.535 |
| 2 | -5.888 |
| 3 | -6.471 |
| 4 | -6.244 |
| 5 | -5.039 |
| 6 | -6.030 |
| 7 | -4.086 |
| 8 | -3.789 |